The following is a DFT calculation (PBE with a Hubbard U) of a geometry-optimized LaFe4Cu3O12 structure.

As for the calculated density: 5.8 g cm⁻³. The energy is -6.3138 eV/atom.

The space group is Im-3 (No. 204) and the conventional cell measures 7.514, 7.514 and 7.514 Å, with angles of 90.00, 90.00 and 90.00 degrees. The asymmetric unit holds La at (0.000, 0.000, 0.000), Fe at (0.250, 0.250, 0.250), Cu at (0.000, 0.000, 0.500) and O at (0.000, 0.312, 0.167).